[1]
MoRh5: relaxed, PBE.

CIF file:
```
data_MoRh5
_chemical_formula_sum 'Mo4 Rh20'
_symmetry_space_group_name_H-M 'F -4 3 m'
_symmetry_Int_Tables_number 216
_symmetry_space_group_name_Hall 'F -4 2 3'
_cell_length_a 7.1299
_cell_length_b 7.1299
_cell_length_c 7.1299
_cell_angle_alpha 90.00
_cell_angle_beta 90.00
_cell_angle_gamma 90.00
loop_
_atom_site_label
_atom_site_type_symbol
_atom_site_fract_x
_atom_site_fract_y
_atom_site_fract_z
Mo1 Mo 0.0000 0.0000 0.0000
Rh1 Rh 0.1248 0.1248 0.6248
Rh2 Rh 0.2500 0.2500 0.2500
```


[2]
Mo3Rh: relaxed, PBE.

CIF file:
```
data_Mo3Rh
_chemical_formula_sum 'Mo3 Rh1'
_symmetry_space_group_name_H-M 'P 4/m m m'
_symmetry_Int_Tables_number 123
_symmetry_space_group_name_Hall '-P 4 2'
_cell_length_a 3.2029
_cell_length_b 3.2029
_cell_length_c 6.0810
_cell_angle_alpha 90.00
_cell_angle_beta 90.00
_cell_angle_gamma 90.00
loop_
_atom_site_label
_atom_site_type_symbol
_atom_site_fract_x
_atom_site_fract_y
_atom_site_fract_z
Mo1 Mo 0.0000 0.0000 0.0000
Mo2 Mo 0.5000 0.5000 0.2412
Rh1 Rh 0.0000 0.0000 0.5000
```


[3]
Mo3Rh2: relaxed, PBE.

CIF file:
```
data_Mo3Rh2
_chemical_formula_sum 'Mo3 Rh2'
_symmetry_space_group_name_H-M 'P -3 m 1'
_symmetry_Int_Tables_number 164
_symmetry_space_group_name_Hall '-P 3 2"'
_cell_length_a 4.2484
_cell_length_b 4.2484
_cell_length_c 5.4167
_cell_angle_alpha 90.00
_cell_angle_beta 90.00
_cell_angle_gamma 120.00
loop_
_atom_site_label
_atom_site_type_symbol
_atom_site_fract_x
_atom_site_fract_y
_atom_site_fract_z
Mo1 Mo 0.0000 0.0000 0.0000
Mo2 Mo 0.3333 0.6667 0.3803
Rh1 Rh 0.3333 0.6667 0.8674
```


| no. | total magnetic moment (μB/f.u.) | E_form (eV per atom) |
| --- | --- | --- |
| 1 | 0.0 | 0.262 |
| 2 | 0.0 | 0.118 |
| 3 | 0.0 | 0.520 |